(1)
6
Lattice="1.432 4.702 0.019 -1.432 4.702 0.019 0.000 2.710 6.581" Properties=species:S:1:pos:R:3 comment="ZnRe PBE-GGA relaxed" delta_e_f_mev_per_atom=164 vol_a3_per_atom=14.748 e_tot_ev_per_atom=-6.697 crystal_system=monoclinic relative_energy_ev_per_atom=0.147 pbc="T T T"
Zn 0.000 2.015 1.088
Zn 0.000 4.702 0.019
Zn 0.000 10.098 5.530
Re 0.000 3.345 4.328
Re 0.000 6.057 3.309
Re 0.000 8.769 2.290

(2)
8
Lattice="0.542 -6.273 5.809 -1.393 -1.992 8.214 -2.026 3.363 -7.614" Properties=species:S:1:pos:R:3 comment="Zn3Re PBE-GGA relaxed" delta_e_f_mev_per_atom=157 vol_a3_per_atom=14.189 e_tot_ev_per_atom=-3.910 crystal_system=tetragonal relative_energy_ev_per_atom=0.061 pbc="T T T"
Zn -0.740 -7.193 12.206
Zn -1.709 0.685 0.300
Zn -0.110 -1.071 1.817
Zn -0.955 -3.521 2.603
Zn -1.922 -1.381 3.806
Zn -0.742 -1.455 -0.902
Re -0.325 -3.155 5.354
Re -0.526 -5.109 8.669

(3)
6
Lattice="-4.157 -1.469 -0.262 3.371 -2.799 -0.559 0.029 -1.073 5.556" Properties=species:S:1:pos:R:3 comment="ZnRe2 PBE-GGA relaxed" delta_e_f_mev_per_atom=344 vol_a3_per_atom=15.938 e_tot_ev_per_atom=-8.379 crystal_system=hexagonal relative_energy_ev_per_atom=0.269 pbc="T T T"
Re 0.877 -2.934 2.535
Re -1.634 -2.407 2.201
Re 0.890 -3.387 4.881
Re -1.647 -1.954 -0.144
Zn 0.007 -0.268 1.389
Zn 0.022 -0.805 4.167

(4)
6
Lattice="-3.680 3.891 2.205 0.580 -5.752 -0.340 2.117 0.005 3.524" Properties=species:S:1:pos:R:3 comment="ZnRe2 PBE-GGA relaxed" delta_e_f_mev_per_atom=261 vol_a3_per_atom=15.112 e_tot_ev_per_atom=-8.463 crystal_system=orthorhombic relative_energy_ev_per_atom=0.185 pbc="T T T"
Re -1.036 1.503 4.216
Re -1.459 0.063 2.075
Re 0.476 -1.919 3.313
Re 0.053 -3.359 1.172
Zn 1.854 -5.038 2.490
Zn -2.837 3.181 2.898

(5)
12
Lattice="7.064 0.000 0.000 0.000 7.064 0.000 0.000 0.000 7.064" Properties=species:S:1:pos:R:3 comment="ZnRe PBE-GGA relaxed" delta_e_f_mev_per_atom=2549 vol_a3_per_atom=29.369 e_tot_ev_per_atom=-4.312 crystal_system=cubic relative_energy_ev_per_atom=2.532 pbc="T T T"
Re 1.766 0.000 3.532
Re 3.532 1.766 0.000
Re 5.298 0.000 3.532
Re 0.000 3.532 1.766
Re 0.000 3.532 5.298
Re 3.532 5.298 0.000
Zn 1.766 3.532 0.000
Zn 3.532 0.000 1.766
Zn 3.532 0.000 5.298
Zn 0.000 1.766 3.532
Zn 0.000 5.298 3.532
Zn 5.298 3.532 0.000

(6)
6
Lattice="0.000 3.445 3.445 3.445 0.000 3.445 3.445 3.445 0.000" Properties=species:S:1:pos:R:3 comment="Zn2Re PBE-GGA relaxed" delta_e_f_mev_per_atom=286 vol_a3_per_atom=13.627 e_tot_ev_per_atom=-4.712 crystal_system=cubic relative_energy_ev_per_atom=0.131 pbc="T T T"
Zn 0.861 2.584 2.584
Zn 0.861 0.861 0.861
Zn 2.584 2.584 0.861
Zn 2.584 0.861 2.584
Re 5.167 5.167 5.167
Re 3.445 3.445 3.445